(1)
Here is SrTlSn2 after structural relaxation from Alexandria. Energies are from PBE-GGA.

Cell lengths 4.1543, 4.1543, 7.1703 Å; angles 90.00, 90.00, 90.00 degrees
Sites, in units of the cell vectors:
Sr (0.5000, 0.5000, 0.0000)
Tl (0.5000, 0.5000, 0.5000)
Sn (0.0000, 0.0000, 0.7118)
Sn (0.0000, 0.0000, 0.2882)

Values from the calculation:
E above lowest polymorph ... 0.086 eV/atom
SG ... P4/mmm, No. 123
DFT formation energy ... -0.26 eV per atom


(2)
Here is SrTlSn after structural relaxation from Alexandria. Energies are from PBE-GGA.

Cell lengths 4.8571, 7.0087, 6.6879 Å; angles 72.52, 68.71, 69.73 degrees
Sites, in units of the cell vectors:
Sr (0.5575, 0.6931, 0.1918)
Sr (0.4425, 0.3069, 0.8082)
Tl (0.1630, 0.9250, 0.7489)
Tl (0.8370, 0.0750, 0.2511)
Sn (0.1563, 0.3238, 0.3636)
Sn (0.8437, 0.6762, 0.6364)

Values from the calculation:
SG ... C2/m, No. 12
DFT formation energy ... -0.44 eV per atom


(3)
Here is Sr3Tl4Sn2 after structural relaxation from Alexandria. Energies are from PBE-GGA.

Cell lengths 5.3332, 6.5432, 9.7823 Å; angles 107.24, 90.00, 114.05 degrees
Sites, in units of the cell vectors:
Sr (0.6396, 0.2792, 0.6908)
Sr (0.0000, 0.0000, 0.0000)
Sr (0.3604, 0.7208, 0.3092)
Tl (0.6930, 0.3860, 0.0487)
Tl (0.3070, 0.6140, 0.9513)
Tl (0.9498, 0.8995, 0.6313)
Tl (0.0502, 0.1005, 0.3687)
Sn (0.6864, 0.3727, 0.3597)
Sn (0.3136, 0.6273, 0.6403)

Values from the calculation:
SG ... C2/m, No. 12
DFT formation energy ... -0.36 eV per atom


(4)
Here is Sr8Tl2Sn after structural relaxation from Alexandria. Energies are from PBE-GGA.

Cell lengths 5.6760, 9.1861, 10.0383 Å; angles 117.23, 106.42, 90.00 degrees
Sites, in units of the cell vectors:
Sr (0.6598, 0.8804, 0.3196)
Sr (0.3402, 0.5608, 0.6804)
Sr (0.1440, 0.1440, 0.2880)
Sr (0.0000, 0.3082, 0.0000)
Sr (0.8560, 0.8560, 0.7120)
Sr (0.6598, 0.4392, 0.3196)
Sr (0.3402, 0.1196, 0.6804)
Sr (0.0000, 0.6918, 0.0000)
Tl (0.1885, 0.6885, 0.3769)
Tl (0.8115, 0.3115, 0.6231)
Sn (0.5000, 0.0000, 0.0000)

Values from the calculation:
E above lowest polymorph ... 0.064 eV/atom
SG ... Immm, No. 71
DFT formation energy ... -0.26 eV per atom


(5)
Here is Sr4Tl5Sn2 after structural relaxation from Alexandria. Energies are from PBE-GGA.

Cell lengths 4.6182, 8.4866, 9.7004 Å; angles 90.91, 90.00, 90.00 degrees
Sites, in units of the cell vectors:
Sr (0.5000, 0.7652, 0.6047)
Sr (0.5000, 0.2137, 0.8625)
Sr (0.5000, 0.2348, 0.3953)
Sr (0.5000, 0.7863, 0.1375)
Tl (0.0000, 0.5480, 0.3376)
Tl (0.0000, 0.1321, 0.1201)
Tl (0.0000, 0.5000, 0.0000)
Tl (0.0000, 0.8679, 0.8799)
Tl (0.0000, 0.4520, 0.6624)
Sn (0.0000, 0.0805, 0.6319)
Sn (0.0000, 0.9195, 0.3681)

Values from the calculation:
SG ... P2/m, No. 10
DFT formation energy ... -0.37 eV per atom


(6)
Here is Sr2Tl2Sn3 after structural relaxation from Alexandria. Energies are from PBE-GGA.

Cell lengths 4.4967, 6.8940, 8.0269 Å; angles 104.76, 90.00, 109.03 degrees
Sites, in units of the cell vectors:
Sr (0.7916, 0.5832, 0.7896)
Sr (0.2084, 0.4168, 0.2104)
Tl (0.9179, 0.8358, 0.2428)
Tl (0.0821, 0.1642, 0.7572)
Sn (0.5000, 0.0000, 0.0000)
Sn (0.5854, 0.1708, 0.4152)
Sn (0.4146, 0.8292, 0.5848)

Values from the calculation:
SG ... C2/m, No. 12
DFT formation energy ... -0.34 eV per atom